The following is a DFT calculation (PBE-GGA) of a relaxed structure of CrFe2CuH.

DOS at the Fermi energy = 6.173 states/eV/f.u.
VASP energy = -6.5986 eV per atom

Cell: 3.6118 3.6118 3.6694 Å, 90.00 90.00 90.00°
Fractional coordinates of all 5 atoms:
Fe1 0.0000 0.5000 0.0000
Fe2 0.5000 0.0000 0.0000
Cu1 0.5000 0.5000 0.5000
Cr1 0.0000 0.0000 0.5000
H1 0.0000 0.0000 0.0000

=====

The following is a DFT calculation (PBE-GGA) of a relaxed structure of CrFe2CuH.

DOS at the Fermi energy = 4.704 states/eV/f.u.
VASP energy = -6.5969 eV per atom

Cell: 3.6581 3.6581 3.7089 Å, 90.00 90.00 90.00°
Fractional coordinates of all 5 atoms:
Fe1 0.0000 0.5000 0.0000
Fe2 0.5000 0.0000 0.0000
Cr1 0.5000 0.5000 0.5000
Cu1 0.0000 0.0000 0.5000
H1 0.0000 0.0000 0.0000

=====

The following is a DFT calculation (PBE-GGA) of a relaxed structure of MnCrFeCu.

energy of formation from the pure elements = 0.207 eV per atom
DOS at the Fermi energy = 4.385 states/eV/f.u.
VASP energy = -7.6314 eV per atom

Cell: 4.0479 4.0479 4.0479 Å, 60.00 60.00 60.00°
Fractional coordinates of all 4 atoms:
Fe1 0.7500 0.7500 0.7500
Cu1 0.0000 0.0000 0.0000
Cr1 0.5000 0.5000 0.5000
Mn1 0.2500 0.2500 0.2500

=====

The following is a DFT calculation (PBE-GGA) of a relaxed structure of CrFeCu2Re.

energy of formation from the pure elements = 1.466 eV per atom
DOS at the Fermi energy = 4.151 states/eV/f.u.
VASP energy = -6.2794 eV per atom

Cell: 4.3175 4.0679 4.3175 Å, 90.00 90.00 90.00°
Fractional coordinates of all 5 atoms:
Cu1 0.5000 0.0000 0.0000
Cr1 0.0000 0.5000 0.0000
Cu2 0.0000 0.0000 0.5000
Re1 0.5000 0.5000 0.5000
Fe1 0.0000 0.0000 0.0000

=====

The following is a DFT calculation (PBE-GGA) of a relaxed structure of Cr2FeCuRu.

energy of formation from the pure elements = 1.704 eV per atom
DOS at the Fermi energy = 12.214 states/eV/f.u.
VASP energy = -6.5122 eV per atom

Cell: 4.3923 4.4064 4.3923 Å, 90.00 90.00 90.00°
Fractional coordinates of all 5 atoms:
Ru1 0.0000 0.0000 0.0000
Cu1 0.5000 0.5000 0.5000
Fe1 0.0000 0.5000 0.0000
Cr1 0.5000 0.0000 0.0000
Cr2 0.0000 0.0000 0.5000

=====

The following is a DFT calculation (PBE-GGA) of a relaxed structure of Cr4FeCuSe8.

ΔE_f (raw) = -0.440 eV/atom
DOS at the Fermi energy = 10.700 states/eV/f.u.
VASP energy = -6.0776 eV per atom

Cell: 7.4069 7.4069 7.4069 Å, 60.00 60.00 60.00°
Fractional coordinates of all 14 atoms:
Se1 0.3672 0.3672 0.8983
Cr1 0.1229 0.6313 0.1229
Cr2 0.1229 0.1229 0.1229
Fe1 0.5000 0.5000 0.5000
Cu1 0.7500 0.7500 0.7500
Se2 0.3672 0.8983 0.3672
Cr3 0.6313 0.1229 0.1229
Se3 0.8828 0.8828 0.3515
Se4 0.3672 0.3672 0.3672
Se5 0.8828 0.8828 0.8828
Se6 0.3515 0.8828 0.8828
Se7 0.8828 0.3515 0.8828
Se8 0.8983 0.3672 0.3672
Cr4 0.1229 0.1229 0.6313

=====

The following is a DFT calculation (PBE-GGA) of a relaxed structure of TaCrFe2Cu.

energy of formation from the pure elements = 1.401 eV per atom
DOS at the Fermi energy = 9.682 states/eV/f.u.
VASP energy = -7.0988 eV per atom

Cell: 4.2327 4.2327 4.2055 Å, 90.00 90.00 90.00°
Fractional coordinates of all 5 atoms:
Cr1 0.0000 0.0000 0.5000
Fe1 0.5000 0.0000 0.0000
Cu1 0.0000 0.0000 0.0000
Ta1 0.5000 0.5000 0.5000
Fe2 0.0000 0.5000 0.0000

=====

The following is a DFT calculation (PBE-GGA) of a relaxed structure of Cr2FeCuTc.

energy of formation from the pure elements = 1.555 eV per atom
DOS at the Fermi energy = 15.505 states/eV/f.u.
VASP energy = -6.8797 eV per atom

Cell: 4.4563 4.7007 4.4563 Å, 90.00 90.00 90.00°
Fractional coordinates of all 5 atoms:
Cr1 0.0000 0.0000 0.5000
Fe1 0.5000 0.5000 0.5000
Cr2 0.5000 0.0000 0.0000
Tc1 0.0000 0.0000 0.0000
Cu1 0.0000 0.5000 0.0000

=====

The following is a DFT calculation (PBE-GGA) of a relaxed structure of TlCrFeCu2.

energy of formation from the pure elements = 1.068 eV per atom
DOS at the Fermi energy = 3.989 states/eV/f.u.
VASP energy = -4.6606 eV per atom

Cell: 4.5037 4.9478 4.5037 Å, 90.00 90.00 90.00°
Fractional coordinates of all 5 atoms:
Cr1 0.5000 0.5000 0.5000
Cu1 0.0000 0.0000 0.5000
Fe1 0.0000 0.0000 0.0000
Tl1 0.0000 0.5000 0.0000
Cu2 0.5000 0.0000 0.0000

=====

The following is a DFT calculation (PBE-GGA) of a relaxed structure of CrGaCu3.

energy of formation from the pure elements = 1.150 eV per atom
relative energy among the computed polymorphs = 0.13 eV per formula unit
DOS at the Fermi energy = 5.821 states/eV/f.u.
VASP energy = -3.8378 eV per atom

Cell: 4.3758 4.3758 4.3758 Å, 90.00 90.00 90.00°
Fractional coordinates of all 5 atoms:
Cu1 0.0000 0.0000 0.5000
Ga1 0.0000 0.0000 0.0000
Cr1 0.5000 0.5000 0.5000
Cu2 0.0000 0.5000 0.0000
Cu3 0.5000 0.0000 0.0000

=====

The following is a DFT calculation (PBE-GGA) of a relaxed structure of Cr2Ga2Cu.

energy of formation from the pure elements = 0.212 eV per atom
relative energy among the computed polymorphs = 0.08 eV per formula unit
DOS at the Fermi energy = 3.182 states/eV/f.u.
VASP energy = -5.6672 eV per atom

Cell: 6.6252 6.6252 3.1964 Å, 90.00 90.00 90.00°
Fractional coordinates of all 10 atoms:
Cr1 0.8905 0.6095 0.0000
Cr2 0.3905 0.8905 0.0000
Cr3 0.1095 0.3905 0.0000
Cr4 0.6095 0.1095 0.0000
Ga1 0.3135 0.1865 0.5000
Cu1 0.0000 0.0000 0.0000
Ga2 0.8135 0.3135 0.5000
Ga3 0.6865 0.8135 0.5000
Ga4 0.1865 0.6865 0.5000
Cu2 0.5000 0.5000 0.0000

=====

The following is a DFT calculation (PBE-GGA) of a relaxed structure of Cr2Ga2Cu.

energy of formation from the pure elements = 0.197 eV per atom
relative energy among the computed polymorphs = 0.00 eV per formula unit
DOS at the Fermi energy = 3.033 states/eV/f.u.
VASP energy = -5.6827 eV per atom

Cell: 6.3660 6.3660 3.6329 Å, 90.00 90.00 90.00°
Fractional coordinates of all 10 atoms:
Ga1 0.1409 0.3591 0.0000
Cr1 0.3383 0.1617 0.5000
Ga2 0.8591 0.6409 0.0000
Ga3 0.6409 0.1409 0.0000
Cr2 0.8383 0.3383 0.5000
Cr3 0.6617 0.8383 0.5000
Ga4 0.3591 0.8591 0.0000
Cu1 0.5000 0.5000 0.0000
Cr4 0.1617 0.6617 0.5000
Cu2 0.0000 0.0000 0.0000

=====

The following is a DFT calculation (PBE-GGA) of a relaxed structure of CrGa2Cu.

energy of formation from the pure elements = -0.026 eV per atom
DOS at the Fermi energy = 1.876 states/eV/f.u.
VASP energy = -4.9692 eV per atom

Cell: 3.6510 3.8748 3.8748 Å, 90.00 90.00 90.00°
Fractional coordinates of all 4 atoms:
Ga1 0.0000 0.5000 0.0000
Cu1 0.5000 0.0000 0.0000
Cr1 0.5000 0.5000 0.5000
Ga2 0.0000 0.0000 0.5000

=====

The following is a DFT calculation (PBE-GGA) of a relaxed structure of CrGa2Cu2.

energy of formation from the pure elements = 0.194 eV per atom
relative energy among the computed polymorphs = 0.00 eV per formula unit
DOS at the Fermi energy = 1.503 states/eV/f.u.
VASP energy = -4.5802 eV per atom

Cell: 7.0688 7.0688 2.6889 Å, 90.00 90.00 90.00°
Fractional coordinates of all 10 atoms:
Ga1 0.1526 0.3474 0.0000
Cu1 0.1466 0.6466 0.5000
Cu2 0.8534 0.3534 0.5000
Ga2 0.6526 0.1526 0.0000
Ga3 0.3474 0.8474 0.0000
Cr1 0.0000 0.0000 0.0000
Cr2 0.5000 0.5000 0.0000
Cu3 0.3534 0.1466 0.5000
Cu4 0.6466 0.8534 0.5000
Ga4 0.8474 0.6526 0.0000

=====

The following is a DFT calculation (PBE-GGA) of a relaxed structure of CrGa2Cu.

energy of formation from the pure elements = 0.055 eV per atom
DOS at the Fermi energy = 1.604 states/eV/f.u.
VASP energy = -4.8880 eV per atom

Cell: 4.3298 4.3298 4.3298 Å, 60.00 60.00 60.00°
Fractional coordinates of all 4 atoms:
Ga1 0.2500 0.2500 0.2500
Cr1 0.0000 0.0000 0.0000
Cu1 0.5000 0.5000 0.5000
Ga2 0.7500 0.7500 0.7500

=====

The following is a DFT calculation (PBE-GGA) of a relaxed structure of CrGaCu3.

energy of formation from the pure elements = 1.125 eV per atom
relative energy among the computed polymorphs = 0.00 eV per formula unit
DOS at the Fermi energy = 3.221 states/eV/f.u.
VASP energy = -3.8631 eV per atom

Cell: 4.6253 4.6253 4.6253 Å, 90.00 90.00 90.00°
Fractional coordinates of all 5 atoms:
Ga1 0.5000 0.5000 0.5000
Cu1 0.0000 0.0000 0.5000
Cu2 0.5000 0.0000 0.0000
Cr1 0.0000 0.0000 0.0000
Cu3 0.0000 0.5000 0.0000

=====

The following is a DFT calculation (PBE-GGA) of a relaxed structure of CrGa2Cu.

energy of formation from the pure elements = 0.021 eV per atom
DOS at the Fermi energy = 1.158 states/eV/f.u.
VASP energy = -4.9220 eV per atom

Cell: 2.9008 2.9008 6.6033 Å, 90.00 90.00 90.00°
Fractional coordinates of all 4 atoms:
Ga1 0.0000 0.0000 0.7475
Ga2 0.0000 0.0000 0.2525
Cu1 0.5000 0.5000 0.0000
Cr1 0.5000 0.5000 0.5000

=====

The following is a DFT calculation (PBE-GGA) of a relaxed structure of Cr2GaCu.

energy of formation from the pure elements = 0.674 eV per atom
DOS at the Fermi energy = 4.799 states/eV/f.u.
VASP energy = -5.9188 eV per atom

Cell: 6.7179 6.7179 5.3307 Å, 50.94 50.94 90.00°
Fractional coordinates of all 8 atoms:
Ga1 0.7500 0.2500 0.5000
Cr1 0.1311 0.6250 0.2500
Cr2 0.3750 0.3811 0.7500
Ga2 0.0000 0.0000 0.0000
Cu1 0.2500 0.7500 0.5000
Cr3 0.6189 0.1250 0.2500
Cr4 0.8750 0.8689 0.7500
Cu2 0.5000 0.5000 0.0000

=====

The following is a DFT calculation (PBE-GGA) of a relaxed structure of Cr2Ga2Cu.

energy of formation from the pure elements = 0.531 eV per atom
relative energy among the computed polymorphs = 1.67 eV per formula unit
DOS at the Fermi energy = 4.206 states/eV/f.u.
VASP energy = -5.3485 eV per atom

Cell: 3.5851 3.5851 6.3188 Å, 73.52 73.52 90.00°
Fractional coordinates of all 5 atoms:
Ga1 0.2500 0.7500 0.5000
Ga2 0.7500 0.2500 0.5000
Cu1 0.0000 0.0000 0.0000
Cr1 0.5830 0.5830 0.8341
Cr2 0.4170 0.4170 0.1659

=====

The following is a DFT calculation (PBE-GGA) of a relaxed structure of CrGa2Cu.

energy of formation from the pure elements = 0.396 eV per atom
DOS at the Fermi energy = 7.402 states/eV/f.u.
VASP energy = -4.5473 eV per atom

Cell: 6.6485 6.6485 5.4104 Å, 52.09 52.09 90.00°
Fractional coordinates of all 8 atoms:
Ga1 0.6391 0.1250 0.2500
Cu1 0.7500 0.2500 0.5000
Ga2 0.8750 0.8891 0.7500
Cr1 0.5000 0.5000 0.0000
Cr2 0.2500 0.7500 0.5000
Cu2 0.0000 0.0000 0.0000
Ga3 0.1109 0.6250 0.2500
Ga4 0.3750 0.3609 0.7500